Entry 1:
{
  "formula": "Li4Mn3NbO8",
  "functional": "GGA+U",
  "state": "optimized geometry",
  "magnetic_moment_mub_per_fu": 14.00,
  "polymorph_energy_ev_per_atom": 0.0009,
  "mass_density_g_cm3": 4.167,
  "vol_a3_per_atom": 10.30,
  "spacegroup": "P2/c, No. 13",
  "lattice": [[-4.305, -2.583, -3.542], [3.432, -5.236, -0.352], [-3.743, -2.932, 7.114]],
  "species": ["O", "O", "O", "O", "O", "O", "O", "O", "O", "O", "O", "O", "O", "O", "O", "O", "Mn", "Mn", "Mn", "Mn", "Mn", "Mn", "Li", "Li", "Li", "Li", "Li", "Li", "Li", "Li", "Nb", "Nb"],
  "frac_coords": [[0.515, 0.502, 0.737], [0.985, 0.998, 0.763], [0.762, 0.230, 0.014], [0.238, 0.229, 0.986], [0.533, 0.022, 0.253], [0.486, 0.502, 0.263], [0.266, 0.733, 0.493], [0.738, 0.271, 0.486], [0.467, 0.022, 0.747], [0.734, 0.733, 0.507], [0.234, 0.767, 0.007], [0.766, 0.767, 0.993], [0.033, 0.479, 0.753], [0.967, 0.479, 0.247], [0.262, 0.271, 0.514], [0.014, 0.998, 0.237], [0.250, 0.250, 0.750], [0.250, 0.750, 0.750], [0.750, 0.750, 0.250], [0.750, 0.250, 0.250], [0.000, 0.494, 0.000], [0.500, 0.006, 0.500], [0.500, 0.009, 0.000], [0.750, 0.250, 0.750], [0.750, 0.750, 0.750], [0.250, 0.250, 0.250], [0.500, 0.494, 0.000], [0.000, 0.006, 0.500], [0.250, 0.750, 0.250], [0.000, 0.491, 0.500], [0.500, 0.512, 0.500], [0.000, 0.989, 0.000]]
}



Entry 2:
{
  "formula": "Li2MnNbO4",
  "functional": "GGA+U",
  "state": "optimized geometry",
  "magnetic_moment_mub_per_fu": 4.74,
  "energy_ev_per_cell": -115.63,
  "mass_density_g_cm3": 4.521,
  "vol_a3_per_atom": 10.36,
  "spacegroup": "Imma, No. 74",
  "lattice": [[-2.949, 3.119, 4.507], [2.949, -3.119, 4.507], [2.949, 3.119, -4.507]],
  "species": ["Li", "Li", "Li", "Li", "O", "O", "O", "O", "O", "O", "O", "O", "Mn", "Mn", "Nb", "Nb"],
  "frac_coords": [[0.000, 0.500, 0.500], [0.500, 0.500, 0.000], [0.000, 0.000, 0.500], [0.000, 0.500, 0.000], [0.753, 0.251, 0.502], [0.247, 0.749, 0.498], [0.751, 0.749, 0.002], [0.725, 0.228, 0.003], [0.249, 0.251, 0.998], [0.725, 0.722, 0.497], [0.275, 0.278, 0.503], [0.275, 0.772, 0.997], [0.000, 0.000, 0.000], [0.500, 0.000, 0.500], [0.500, 0.500, 0.500], [0.500, 0.000, 0.000]]
}



Entry 3:
{
  "formula": "Li2MnNb3O8",
  "functional": "GGA+U",
  "state": "optimized geometry",
  "magnetic_moment_mub_per_fu": 8.05,
  "polymorph_energy_ev_per_atom": 0.0000,
  "mass_density_g_cm3": 4.714,
  "vol_a3_per_atom": 11.96,
  "spacegroup": "P6_3mc, No. 186",
  "lattice": [[2.914, 5.381, -0.297], [-3.479, -1.862, -4.687], [-8.171, 4.658, 4.215]],
  "species": ["Li", "Li", "Li", "Li", "O", "O", "O", "O", "O", "O", "O", "O", "O", "O", "O", "O", "O", "O", "O", "O", "Nb", "Nb", "Nb", "Nb", "Nb", "Nb", "Mn", "Mn"],
  "frac_coords": [[0.000, 0.000, 0.995], [0.667, 0.333, 0.393], [0.000, 0.000, 0.495], [0.333, 0.667, 0.893], [0.000, 0.000, 0.814], [0.512, 0.025, 0.835], [0.667, 0.333, 0.585], [0.844, 0.156, 0.106], [0.844, 0.687, 0.106], [0.488, 0.512, 0.335], [0.512, 0.488, 0.835], [0.975, 0.488, 0.835], [0.156, 0.844, 0.606], [0.000, 0.000, 0.314], [0.025, 0.512, 0.335], [0.333, 0.667, 0.085], [0.313, 0.156, 0.106], [0.156, 0.313, 0.606], [0.687, 0.844, 0.606], [0.488, 0.975, 0.335], [0.823, 0.177, 0.714], [0.177, 0.823, 0.214], [0.823, 0.647, 0.714], [0.177, 0.353, 0.214], [0.647, 0.823, 0.214], [0.353, 0.177, 0.714], [0.667, 0.333, 0.000], [0.333, 0.667, 0.500]]
}



Entry 4:
{
  "formula": "Li4Mn3NbO8",
  "functional": "GGA+U",
  "state": "optimized geometry",
  "magnetic_moment_mub_per_fu": 14.00,
  "polymorph_energy_ev_per_atom": 0.0111,
  "mass_density_g_cm3": 4.176,
  "vol_a3_per_atom": 10.27,
  "spacegroup": "C2/m, No. 12",
  "lattice": [[6.083, 0.009, 0.014], [2.909, 5.342, 0.014], [2.905, 1.729, 5.072]],
  "species": ["Li", "Li", "Li", "Li", "O", "O", "O", "O", "O", "O", "O", "O", "Nb", "Mn", "Mn", "Mn"],
  "frac_coords": [[0.000, 0.000, 0.500], [0.500, 0.000, 0.000], [0.500, 0.500, 0.500], [0.000, 0.500, 0.000], [0.232, 0.769, 0.237], [0.231, 0.768, 0.763], [0.256, 0.256, 0.278], [0.744, 0.744, 0.722], [0.765, 0.765, 0.228], [0.768, 0.231, 0.763], [0.769, 0.232, 0.237], [0.235, 0.235, 0.772], [0.000, 0.000, 0.000], [0.000, 0.500, 0.500], [0.500, 0.500, 0.000], [0.500, 0.000, 0.500]]
}